Entry from Alexandria: crystalline SiCN3 at its relaxed geometry (PBE).

Formation energy without anion corrections: 2155 meV/atom
Total magnetization: 1.3 μB/f.u.
Final energy: -5.77 eV per atom
N(E_F): 0.49 states/eV per atom

Lattice parameters (Å, degrees): 3.553 3.553 3.553 90.00 90.00 90.00
Each line ends with the local moment (μB).
Fractional coordinates of all 5 atoms:
Si: 0.000 0.000 0.000  -0.02
C: 0.500 0.500 0.500  -0.18
N: 0.000 0.500 0.000  0.45
N: 0.000 0.000 0.500  0.45
N: 0.500 0.000 0.000  0.30

---

Entry from Alexandria: crystalline Sr3HfTh2As6 at its relaxed geometry (PBE).

ΔE_f: -1.2550 eV/atom
Total magnetization: 0.0 μB/f.u.
Final energy: -6.07 eV per atom
N(E_F): 0.02 states/eV per atom

Lattice parameters (Å, degrees): 7.380 7.380 7.583 99.37 99.37 120.02
Fractional coordinates of all 12 atoms:
Sr: 0.169 0.831 0.500
Sr: 0.831 0.169 0.500
Sr: 0.500 0.500 0.500
Hf: 0.000 0.000 0.000
Th: 0.334 0.666 0.000
Th: 0.666 0.334 0.000
As: 0.927 0.610 0.780
As: 0.758 0.758 0.221
As: 0.073 0.390 0.220
As: 0.610 0.927 0.780
As: 0.242 0.242 0.779
As: 0.390 0.073 0.220

---

Entry from Alexandria: crystalline SrSi2Pt at its relaxed geometry (PBE).

Formation energy without anion corrections: -276 meV/atom
Total magnetization: 0.0 μB/f.u.
Final energy: -4.92 eV per atom
N(E_F): 0.53 states/eV per atom

Lattice parameters (Å, degrees): 3.338 3.338 7.018 90.00 90.00 90.00
Fractional coordinates of all 4 atoms:
Pt: 0.500 0.500 0.834
Si: 0.000 0.000 0.984
Si: 0.500 0.500 0.185
Sr: 0.000 0.000 0.497

---

Entry from Alexandria: crystalline Nd2ZnTe at its relaxed geometry (PBE).

Energy above the most stable polymorph in this dataset: 0.0 kJ per mole of atoms
Formation energy without anion corrections: -825 meV/atom
Total magnetization: 0.1 μB/f.u.
Final energy: -4.31 eV per atom
N(E_F): 1.05 states/eV per atom

Lattice parameters (Å, degrees): 4.498 4.341 12.325 100.14 90.00 90.00
Fractional coordinates of all 8 atoms:
Nd: 0.750 0.673 0.347
Nd: 0.250 0.327 0.653
Nd: 0.750 0.937 0.875
Nd: 0.250 0.063 0.125
Zn: 0.250 0.462 0.925
Zn: 0.750 0.538 0.075
Te: 0.250 0.194 0.388
Te: 0.750 0.806 0.612